(1)
This record from Alexandria via LeMat-Bulk describes a relaxed La2CoCu crystal. The functional is PBE.

Summary:
Electronic total energy (eV/cell): -20.6
M_tot (μB per cell): 1.091
Calculated formation energy (meV per atom): 104

Cell: 3.4979 3.4979 7.8672 Å, 90.00 90.00 90.00°
Space group P4mm (No. 99)
One atom of each set of equivalent atoms:
La 0.0000 0.0000 0.0000 (multiplicity 1)
La 0.5000 0.5000 0.4244 (multiplicity 1)
Co 0.0000 0.0000 0.6655 (multiplicity 1)
Cu 0.5000 0.5000 0.7806 (multiplicity 1)

(2)
This record from Alexandria via LeMat-Bulk describes a relaxed Pm2BeSi3Ir4 crystal. The functional is PBE.

Summary:
Electronic total energy (eV/cell): -74.5
M_tot (μB per cell): 0.000

Cell: 4.1420 4.1420 9.8550 Å, 90.00 90.00 90.00°
Space group P-4m2 (No. 115)
One atom of each set of equivalent atoms:
Pm 0.0000 0.5000 0.2429 (multiplicity 2)
Be 0.5000 0.5000 0.0000 (multiplicity 1)
Si 0.0000 0.0000 0.0000 (multiplicity 1)
Si 0.0000 0.5000 0.6316 (multiplicity 2)
Ir 0.0000 0.0000 0.5000 (multiplicity 1)
Ir 0.0000 0.5000 0.8769 (multiplicity 2)
Ir 0.5000 0.5000 0.5000 (multiplicity 1)

(3)
This record from Alexandria via LeMat-Bulk describes a relaxed CeCd4Hg4 crystal. The functional is PBE.

Summary:
ΔE to the lowest computed polymorph (meV/atom): 0
Electronic total energy (eV/cell): -23.8
M_tot (μB per cell): 2.218
Calculated formation energy (meV per atom): -123

Cell: 10.0544 10.0544 4.3789 Å, 90.00 90.00 90.00°
Space group I4/mmm (No. 139)
One atom of each set of equivalent atoms:
Ce 0.0000 0.0000 0.0000 (multiplicity 2)
Cd 0.0000 0.3392 0.0000 (multiplicity 8)
Hg 0.1708 0.1708 0.5000 (multiplicity 8)

(4)
This record from Alexandria via LeMat-Bulk describes a relaxed Ac2Sm2Th crystal. The functional is PBE.

Summary:
Electronic total energy (eV/cell): -24.7
M_tot (μB per cell): 0.000
Calculated formation energy (meV per atom): 67

Cell: 3.7546 3.7546 15.3701 Å, 90.00 90.00 120.00°
Space group P-3m1 (No. 164)
One atom of each set of equivalent atoms:
Ac 0.3333 0.6667 0.1086 (multiplicity 2)
Sm 0.3333 0.6667 0.6836 (multiplicity 2)
Th 0.0000 0.0000 0.5000 (multiplicity 1)

(5)
This record from Alexandria via LeMat-Bulk describes a relaxed Re2MoSe crystal. The functional is PBE.

Summary:
Electronic total energy (eV/cell): -35.9
M_tot (μB per cell): 0.490

Cell: 3.7032 3.7032 4.6343 Å, 90.00 90.00 90.00°
Space group P4/mmm (No. 123)
One atom of each set of equivalent atoms:
Re 0.0000 0.5000 0.0000 (multiplicity 2)
Mo 0.0000 0.0000 0.5000 (multiplicity 1)
Se 0.5000 0.5000 0.5000 (multiplicity 1)

(6)
This record from Alexandria via LeMat-Bulk describes a relaxed TlSn2HI crystal. The functional is PBE.

Summary:
Electronic total energy (eV/cell): -10.8
M_tot (μB per cell): 0.840

Cell: 5.8717 5.8717 6.4466 Å, 90.00 90.00 90.00°
Space group P4/mmm (No. 123)
One atom of each set of equivalent atoms:
Tl 0.0000 0.0000 0.0000 (multiplicity 1)
Sn 0.0000 0.5000 0.0000 (multiplicity 2)
H 0.5000 0.5000 0.5000 (multiplicity 1)
I 0.0000 0.0000 0.5000 (multiplicity 1)

(7)
This record from Alexandria via LeMat-Bulk describes a relaxed ReTcC2 crystal. The functional is PBE.

Summary:
ΔE to the lowest computed polymorph (meV/atom): 0
Electronic total energy (eV/cell): -154.8
M_tot (μB per cell): 6.939
Calculated formation energy (meV per atom): 641

Cell: 4.6394 4.6394 9.3078 Å, 90.00 90.00 90.00°
Space group I-42d (No. 122)
One atom of each set of equivalent atoms:
Re 0.0000 0.0000 0.0000 (multiplicity 4)
Tc 0.0000 0.0000 0.5000 (multiplicity 4)
C 0.2454 0.2500 0.1250 (multiplicity 8)

(8)
This record from Alexandria via LeMat-Bulk describes a relaxed KAc4Hg5 crystal. The functional is PBE.

Summary:
Electronic total energy (eV/cell): -23.2
M_tot (μB per cell): 0.263
Calculated formation energy (meV per atom): -420

Cell: 4.0482 4.0482 20.7637 Å, 90.00 90.00 90.00°
Space group P4/mmm (No. 123)
One atom of each set of equivalent atoms:
K 0.0000 0.0000 0.0000 (multiplicity 1)
Ac 0.0000 0.0000 0.2071 (multiplicity 2)
Ac 0.0000 0.0000 0.4019 (multiplicity 2)
Hg 0.5000 0.5000 0.1170 (multiplicity 2)
Hg 0.5000 0.5000 0.3055 (multiplicity 2)
Hg 0.5000 0.5000 0.5000 (multiplicity 1)

(9)
This record from Alexandria via LeMat-Bulk describes a relaxed Y2TaNb2 crystal. The functional is PBE.

Summary:
Electronic total energy (eV/cell): -86.3
M_tot (μB per cell): 0.000
Calculated formation energy (meV per atom): 358

Cell: 6.8547 6.8547 5.1010 Å, 90.00 90.00 90.00°
Space group P4/mbm (No. 127)
One atom of each set of equivalent atoms:
Y 0.1729 0.3271 0.0000 (multiplicity 4)
Ta 0.0000 0.0000 0.5000 (multiplicity 2)
Nb 0.1399 0.6399 0.5000 (multiplicity 4)

(10)
This record from Alexandria via LeMat-Bulk describes a relaxed Tl2CdInSn2 crystal. The functional is PBE.

Summary:
Electronic total energy (eV/cell): -32.2
M_tot (μB per cell): 0.000
Calculated formation energy (meV per atom): 50

Cell: 4.4692 9.9113 7.8877 Å, 90.00 90.00 90.00°
Space group Pmc2_1 (No. 26)
One atom of each set of equivalent atoms:
Tl 0.0000 0.0838 0.0000 (multiplicity 2)
Tl 0.5000 0.1832 0.3070 (multiplicity 2)
Cd 0.0000 0.3120 0.5767 (multiplicity 2)
In 0.5000 0.4165 0.9017 (multiplicity 2)
Sn 0.0000 0.4024 0.1968 (multiplicity 2)
Sn 0.5000 0.1369 0.7073 (multiplicity 2)

(11)
This record from Alexandria via LeMat-Bulk describes a relaxed Ba3Ca13 crystal. The functional is PBE.

Summary:
ΔE to the lowest computed polymorph (meV/atom): 0
Electronic total energy (eV/cell): -62.9
M_tot (μB per cell): 0.000
Calculated formation energy (meV per atom): 22

Cell: 10.8924 11.5333 11.6130 Å, 90.00 90.00 90.00°
Space group Amm2 (No. 38)
One atom of each set of equivalent atoms:
Ba 0.0000 0.0000 0.0000 (multiplicity 2)
Ba 0.2559 0.0000 0.2591 (multiplicity 4)
Ca 0.0000 0.0000 0.5137 (multiplicity 2)
Ca 0.0000 0.2423 0.7546 (multiplicity 4)
Ca 0.2535 0.0000 0.7512 (multiplicity 4)
Ca 0.2565 0.2457 0.5062 (multiplicity 8)
Ca 0.5000 0.0000 0.5146 (multiplicity 2)
Ca 0.5000 0.0000 0.9954 (multiplicity 2)
Ca 0.5000 0.2401 0.7558 (multiplicity 4)

(12)
This record from Alexandria via LeMat-Bulk describes a relaxed Tb3HoAg4 crystal. The functional is PBE.

Summary:
Electronic total energy (eV/cell): -32.4
M_tot (μB per cell): 0.000
Calculated formation energy (meV per atom): -317

Cell: 3.6403 3.6403 14.6056 Å, 90.00 90.00 90.00°
Space group P4/mmm (No. 123)
One atom of each set of equivalent atoms:
Tb 0.0000 0.0000 0.0000 (multiplicity 1)
Tb 0.0000 0.0000 0.2513 (multiplicity 2)
Ho 0.0000 0.0000 0.5000 (multiplicity 1)
Ag 0.5000 0.5000 0.1253 (multiplicity 2)
Ag 0.5000 0.5000 0.3779 (multiplicity 2)